Material: HfGe3C
Method: DFT, PBE
State: relaxed

abc: 5.185 5.185 5.185
angles: 90.00 90.00 90.00
Site moments in Bohr magnetons follow the coordinates.
Atoms (fractional coordinates):
Hf (0.000, 0.000, 0.000)  -0.07
Ge (0.000, 0.000, 0.500)  0.01
Ge (0.500, 0.000, 0.000)  -0.03
Ge (0.000, 0.500, 0.000)  0.01
C (0.500, 0.500, 0.500)  0.87

Calculated values
DFT formation energy = 1824 meV/atom

---

Material: Ho2Hf2Ge2C
Method: DFT, PBE
State: relaxed

abc: 4.375 4.375 8.194
angles: 105.48 105.48 90.00
Site moments in Bohr magnetons follow the coordinates.
Atoms (fractional coordinates):
Ge (0.632, 0.632, 0.264)  -0.01
Ge (0.368, 0.368, 0.736)  -0.01
C (0.000, 0.000, 0.000)  -0.01
Ho (0.833, 0.833, 0.666)  0.11
Ho (0.167, 0.167, 0.334)  0.11
Hf (0.500, 0.000, 0.000)  0.09
Hf (0.000, 0.500, 0.000)  0.09

Calculated values
DFT formation energy = -743 meV/atom

---

Material: Hf2GeCI
Method: DFT, PBE
State: relaxed

abc: 4.765 4.021 4.765
angles: 90.00 90.00 90.00
Atoms (fractional coordinates):
Hf (0.000, 0.000, 0.500)
Hf (0.500, 0.000, 0.000)
I (0.500, 0.500, 0.500)
C (0.000, 0.000, 0.000)
Ge (0.000, 0.500, 0.000)

Calculated values
Formation energy (no corrections) = 0.34 eV/atom

---

Material: Hf6GeC3N2
Method: DFT, PBE
State: relaxed

abc: 3.317 6.824 7.551
angles: 103.27 102.69 90.00
Atoms (fractional coordinates):
Hf (0.001, 0.720, 0.003)
Hf (0.322, 0.910, 0.643)
Hf (0.999, 0.280, 0.997)
Hf (0.668, 0.585, 0.337)
Hf (0.332, 0.415, 0.663)
Hf (0.678, 0.090, 0.357)
C (0.500, 0.500, 0.000)
C (0.168, 0.829, 0.335)
C (0.832, 0.171, 0.665)
N (0.827, 0.658, 0.654)
N (0.173, 0.342, 0.346)
Ge (0.500, 0.000, 0.000)

Calculated values
Formation energy (no corrections) = -1.01 eV/atom

---

Material: HfGe2CN
Method: DFT, PBE
State: relaxed

abc: 4.144 4.378 4.144
angles: 90.00 90.00 90.00
Atoms (fractional coordinates):
C (0.500, 0.500, 0.500)
Hf (0.000, 0.500, 0.000)
N (0.000, 0.000, 0.000)
Ge (0.000, 0.000, 0.500)
Ge (0.500, 0.000, 0.000)

Calculated values
Formation energy (no corrections) = 1.03 eV/atom

---

Material: Hf6GeC2N3
Method: DFT, PBE
State: relaxed

abc: 3.311 6.815 7.486
angles: 102.57 102.78 90.00
Atoms (fractional coordinates):
Hf (0.321, 0.897, 0.641)
Hf (0.679, 0.103, 0.359)
Hf (0.330, 0.421, 0.659)
Hf (0.670, 0.579, 0.341)
Hf (0.001, 0.283, 0.002)
Hf (0.999, 0.717, 0.998)
N (0.500, 0.500, 0.000)
N (0.832, 0.172, 0.664)
N (0.168, 0.828, 0.336)
C (0.831, 0.663, 0.662)
C (0.169, 0.337, 0.338)
Ge (0.500, 0.000, 0.000)

Calculated values
Formation energy (no corrections) = -1.12 eV/atom

---

Material: Hf2Re2Ge2C
Method: DFT, PBE
State: relaxed

abc: 4.019 5.702 5.830
angles: 68.08 69.84 69.15
Atoms (fractional coordinates):
Re (0.210, 0.683, 0.896)
Re (0.790, 0.317, 0.104)
Ge (0.148, 0.359, 0.347)
Ge (0.852, 0.641, 0.653)
Hf (0.560, 0.164, 0.719)
Hf (0.440, 0.836, 0.281)
C (0.000, 0.000, 0.000)

Calculated values
DFT formation energy = -256 meV/atom

---

Material: HfGe2RhC
Method: DFT, PBE
State: relaxed

abc: 4.587 3.809 4.587
angles: 90.00 90.00 90.00
Atoms (fractional coordinates):
Ge (0.000, 0.000, 0.500)
Ge (0.500, 0.000, 0.000)
Hf (0.500, 0.500, 0.500)
C (0.000, 0.000, 0.000)
Rh (0.000, 0.500, 0.000)

Calculated values
DFT formation energy = 351 meV/atom

---

Material: Sm2Hf2Ge2C
Method: DFT, PBE
State: relaxed

abc: 4.401 4.401 8.403
angles: 105.18 105.18 90.00
Site moments in Bohr magnetons follow the coordinates.
Atoms (fractional coordinates):
Sm (0.168, 0.168, 0.337)  0.15
Sm (0.832, 0.832, 0.663)  0.15
Ge (0.627, 0.627, 0.255)  -0.02
Ge (0.373, 0.373, 0.745)  -0.02
C (0.000, 0.000, 0.000)  -0.01
Hf (0.500, 0.000, 0.000)  0.13
Hf (0.000, 0.500, 0.000)  0.13

Calculated values
DFT formation energy = -761 meV/atom

---

Material: Hf2TaGeC
Method: DFT, PBE
State: relaxed

abc: 5.131 3.693 5.131
angles: 90.00 90.00 90.00
Atoms (fractional coordinates):
Hf (0.500, 0.000, 0.000)
Hf (0.000, 0.000, 0.500)
Ge (0.000, 0.000, 0.000)
C (0.000, 0.500, 0.000)
Ta (0.500, 0.500, 0.500)

Calculated values
DFT formation energy = 1269 meV/atom

---

Material: Tb2Hf2Ge2C
Method: DFT, PBE
State: relaxed

abc: 4.382 4.382 8.268
angles: 105.37 105.37 90.00
Site moments in Bohr magnetons follow the coordinates.
Atoms (fractional coordinates):
Tb (0.832, 0.832, 0.665)  0.17
Tb (0.168, 0.168, 0.335)  0.17
Ge (0.630, 0.630, 0.261)  -0.01
Ge (0.370, 0.370, 0.739)  -0.01
Hf (0.500, 0.000, 0.000)  0.13
Hf (0.000, 0.500, 0.000)  0.13
C (0.000, 0.000, 0.000)  -0.01

Calculated values
DFT formation energy = -757 meV/atom

---

Material: Tm2Hf2Ge2C
Method: DFT, PBE
State: relaxed

abc: 4.370 4.370 8.117
angles: 105.62 105.62 90.00
Atoms (fractional coordinates):
Ge (0.366, 0.366, 0.733)
Ge (0.634, 0.634, 0.267)
Tm (0.834, 0.834, 0.667)
Tm (0.166, 0.166, 0.333)
Hf (0.000, 0.500, 0.000)
Hf (0.500, 0.000, 0.000)
C (0.000, 0.000, 0.000)

Calculated values
DFT formation energy = -725 meV/atom

---

Material: HfVGe2C
Method: DFT, PBE
State: relaxed

abc: 5.118 5.118 4.812
angles: 90.00 90.00 90.00
Site moments in Bohr magnetons follow the coordinates.
Atoms (fractional coordinates):
C (0.500, 0.500, 0.500)  0.74
V (0.000, 0.000, 0.500)  1.78
Ge (0.500, 0.000, 0.000)  -0.06
Ge (0.000, 0.500, 0.000)  -0.06
Hf (0.000, 0.000, 0.000)  -0.09

Calculated values
DFT formation energy = 2261 meV/atom

---

Material: Y2Hf2Ge2C
Method: DFT, PBE
State: relaxed

abc: 4.380 4.380 8.247
angles: 105.40 105.40 90.00
Site moments in Bohr magnetons follow the coordinates.
Atoms (fractional coordinates):
Hf (0.000, 0.500, 0.000)  0.12
Hf (0.500, 0.000, 0.000)  0.12
Y (0.832, 0.832, 0.664)  0.13
Y (0.168, 0.168, 0.336)  0.13
Ge (0.631, 0.631, 0.262)  -0.01
Ge (0.369, 0.369, 0.738)  -0.01
C (0.000, 0.000, 0.000)  -0.01

Calculated values
DFT formation energy = -765 meV/atom

---

Material: HfZrGe2C
Method: DFT, PBE
State: relaxed

abc: 5.068 4.148 5.068
angles: 90.00 90.00 90.00
Atoms (fractional coordinates):
C (0.000, 0.500, 0.000)
Ge (0.000, 0.000, 0.500)
Ge (0.500, 0.000, 0.000)
Zr (0.500, 0.500, 0.500)
Hf (0.000, 0.000, 0.000)

Calculated values
DFT formation energy = 857 meV/atom

---

Material: Hg2GeC
Method: DFT, PBE
State: relaxed

abc: 4.732 4.732 4.732
angles: 60.00 60.00 60.00
Atoms (fractional coordinates):
Hg (0.750, 0.750, 0.750)
Hg (0.250, 0.250, 0.250)
Ge (0.500, 0.500, 0.500)
C (0.000, 0.000, 0.000)

Calculated values
DFT formation energy = 1542 meV/atom

---

Material: HgGe2C
Method: DFT, PBE
State: relaxed

abc: 4.634 4.634 4.634
angles: 60.00 60.00 60.00
Atoms (fractional coordinates):
C (0.000, 0.000, 0.000)
Ge (0.250, 0.250, 0.250)
Ge (0.750, 0.750, 0.750)
Hg (0.500, 0.500, 0.500)

Calculated values
DFT formation energy = 1500 meV/atom

---

Material: HgGe2C
Method: DFT, PBE
State: relaxed

abc: 5.652 5.652 6.206
angles: 62.91 62.91 90.00
Atoms (fractional coordinates):
Ge (0.216, 0.625, 0.250)
Ge (0.875, 0.784, 0.750)
Ge (0.534, 0.125, 0.250)
Ge (0.375, 0.466, 0.750)
Hg (0.750, 0.250, 0.500)
Hg (0.000, 0.000, 0.000)
C (0.250, 0.750, 0.500)
C (0.500, 0.500, 0.000)

Calculated values
DFT formation energy = 656 meV/atom

---

Material: HgGeC2
Method: DFT, PBE
State: relaxed

abc: 5.048 5.048 5.813
angles: 64.27 64.27 90.00
Atoms (fractional coordinates):
Hg (0.000, 0.000, 0.000)
Hg (0.750, 0.250, 0.500)
C (0.875, 0.824, 0.750)
C (0.574, 0.125, 0.250)
C (0.375, 0.426, 0.750)
C (0.176, 0.625, 0.250)
Ge (0.500, 0.500, 0.000)
Ge (0.250, 0.750, 0.500)

Calculated values
DFT formation energy = 1421 meV/atom

---

Material: Hg2GeC
Method: DFT, PBE
State: relaxed

abc: 6.147 6.147 6.443
angles: 61.51 61.51 90.00
Atoms (fractional coordinates):
Hg (0.211, 0.625, 0.250)
Hg (0.375, 0.461, 0.750)
Hg (0.539, 0.125, 0.250)
Hg (0.875, 0.789, 0.750)
C (0.500, 0.500, 0.000)
C (0.250, 0.750, 0.500)
Ge (0.000, 0.000, 0.000)
Ge (0.750, 0.250, 0.500)

Calculated values
DFT formation energy = 1267 meV/atom

---

Material: HgGeC2
Method: DFT, PBE
State: relaxed

abc: 4.250 4.250 4.250
angles: 60.00 60.00 60.00
Atoms (fractional coordinates):
C (0.750, 0.750, 0.750)
C (0.250, 0.250, 0.250)
Hg (0.500, 0.500, 0.500)
Ge (0.000, 0.000, 0.000)

Calculated values
DFT formation energy = 2497 meV/atom

---

Material: HgGePt2C
Method: DFT, PBE
State: relaxed

abc: 5.166 3.883 5.166
angles: 90.00 90.00 90.00
Atoms (fractional coordinates):
C (0.000, 0.500, 0.000)
Hg (0.000, 0.000, 0.000)
Pt (0.000, 0.000, 0.500)
Pt (0.500, 0.000, 0.000)
Ge (0.500, 0.500, 0.500)

Calculated values
DFT formation energy = 1754 meV/atom

---

Material: ReHgGeC2
Method: DFT, PBE
State: relaxed

abc: 4.027 5.229 4.027
angles: 90.00 90.00 90.00
Atoms (fractional coordinates):
C (0.500, 0.000, 0.000)
C (0.000, 0.000, 0.500)
Re (0.000, 0.000, 0.000)
Ge (0.000, 0.500, 0.000)
Hg (0.500, 0.500, 0.500)

Calculated values
DFT formation energy = 1189 meV/atom

---

Material: HgGeRu2C
Method: DFT, PBE
State: relaxed

abc: 5.146 4.896 5.146
angles: 90.00 90.00 90.00
Site moments in Bohr magnetons follow the coordinates.
Atoms (fractional coordinates):
Ge (0.000, 0.500, 0.000)  0.01
Ru (0.000, 0.000, 0.500)  2.44
Ru (0.500, 0.000, 0.000)  2.01
Hg (0.000, 0.000, 0.000)  0.00
C (0.500, 0.500, 0.500)  -0.73

Calculated values
DFT formation energy = 3168 meV/atom

---

Material: Hg2GeCS
Method: DFT, PBE
State: relaxed

abc: 4.440 5.070 4.440
angles: 90.00 90.00 90.00
Atoms (fractional coordinates):
Hg (0.000, 0.000, 0.500)
Hg (0.500, 0.000, 0.000)
S (0.000, 0.500, 0.000)
C (0.000, 0.000, 0.000)
Ge (0.500, 0.500, 0.500)

Calculated values
Formation energy (no corrections) = 1.15 eV/atom

---

Material: Th6Hg3GeC2
Method: DFT, PBE
State: relaxed

abc: 3.882 9.150 10.005
angles: 114.31 101.19 90.00
Atoms (fractional coordinates):
Th (0.684, 0.541, 0.369)
Th (0.032, 0.255, 0.065)
Th (0.667, 0.130, 0.334)
Th (0.968, 0.745, 0.935)
Th (0.316, 0.459, 0.631)
Th (0.333, 0.870, 0.666)
Hg (0.148, 0.805, 0.296)
Hg (0.500, 0.500, 0.000)
Hg (0.852, 0.195, 0.704)
C (0.172, 0.321, 0.344)
C (0.828, 0.679, 0.656)
Ge (0.500, 0.000, 0.000)

Calculated values
DFT formation energy = -309 meV/atom

---

Taking the records one at a time from the top gives uncorrected energy values of -0.1757 -0.2768 -0.2471 -0.3698 -0.2320 -0.3713 -0.3415 -0.2499 -0.2789 -0.2885 -0.2778 -0.2750 -0.1927 -0.2974 -0.2401 -0.0761 -0.1172 -0.1482 -0.1624 -0.0862 -0.1229 -0.1283 -0.2195 -0.1239 -0.0943 -0.2211 Ha/atom.